[1]
Here is crystalline YbDyHg2 at its relaxed geometry from Alexandria. Energies are from PBE-GGA.

Cell lengths 5.280, 5.280, 5.280 Å; angles 60.00, 60.00, 60.00 degrees
Element x y z (fractional)
Yb 0.000 0.000 0.000
Dy 0.500 0.500 0.500
Hg 0.250 0.250 0.250
Hg 0.750 0.750 0.750

Calculated values
Its space group is Fm-3m (225). As for the formation energy: -0.552 eV/atom. The value obtained for the calculated total energy is -0.1642 Ry/atom. The magnetic moment is 0.25 μB per formula unit.



[2]
Here is crystalline Dy4Zn3Hg at its relaxed geometry from Alexandria. Energies are from PBE-GGA.

Cell lengths 3.694, 4.588, 11.390 Å; angles 90.00, 90.00, 90.00 degrees
Element x y z (fractional)
Dy 0.000 0.000 0.000
Dy 0.000 0.500 0.296
Dy 0.500 0.000 0.488
Dy 0.500 0.500 0.802
Zn 0.000 0.500 0.567
Zn 0.500 0.000 0.216
Zn 0.500 0.500 0.076
Hg 0.000 0.000 0.719

Calculated values
Its space group is Pmm2 (25). As for the formation energy: -0.323 eV/atom. The value obtained for the calculated total energy is -0.2308 Ry/atom. The magnetic moment is 0.00 μB per formula unit.



[3]
Here is crystalline Dy2Zn2Hg at its relaxed geometry from Alexandria. Energies are from PBE-GGA.

Cell lengths 5.885, 5.885, 10.277 Å; angles 113.32, 113.32, 45.49 degrees
Element x y z (fractional)
Dy 0.020 0.020 0.334
Dy 0.185 0.185 0.098
Dy 0.815 0.815 0.902
Dy 0.980 0.980 0.666
Zn 0.373 0.373 0.430
Zn 0.471 0.471 0.112
Zn 0.529 0.529 0.888
Zn 0.627 0.627 0.570
Hg 0.272 0.272 0.662
Hg 0.728 0.728 0.338

Calculated values
Its space group is C2/m (12). As for the formation energy: -0.338 eV/atom. The value obtained for the calculated total energy is -0.2020 Ry/atom. The magnetic moment is 0.00 μB per formula unit.



[4]
Here is crystalline Dy3Zn2Hg3 at its relaxed geometry from Alexandria. Energies are from PBE-GGA.

Cell lengths 7.573, 7.573, 3.778 Å; angles 90.00, 90.00, 120.00 degrees
Element x y z (fractional)
Dy 0.000 0.607 0.000
Dy 0.393 0.393 0.000
Dy 0.607 0.000 0.000
Zn 0.333 0.667 0.500
Zn 0.667 0.333 0.500
Hg 0.000 0.248 0.500
Hg 0.248 0.000 0.500
Hg 0.752 0.752 0.500

Calculated values
Its space group is P-62m (189). As for the formation energy: -0.376 eV/atom. The value obtained for the calculated total energy is -0.1862 Ry/atom. The magnetic moment is 0.00 μB per formula unit.



[5]
Here is crystalline DyZn2Hg at its relaxed geometry from Alexandria. Energies are from PBE-GGA.

Cell lengths 4.326, 4.326, 4.498 Å; angles 90.00, 90.00, 90.00 degrees
Element x y z (fractional)
Dy 0.000 0.000 0.000
Zn 0.000 0.500 0.500
Zn 0.500 0.000 0.500
Hg 0.500 0.500 0.000

Calculated values
Its space group is P4/mmm (123). As for the formation energy: -0.238 eV/atom. The value obtained for the calculated total energy is -0.1545 Ry/atom. The magnetic moment is 0.00 μB per formula unit.



[6]
Here is crystalline DyZn2Hg at its relaxed geometry from Alexandria. Energies are from PBE-GGA.

Cell lengths 4.808, 4.808, 4.808 Å; angles 60.00, 60.00, 60.00 degrees
Element x y z (fractional)
Dy 0.000 0.000 0.000
Zn 0.250 0.250 0.250
Zn 0.750 0.750 0.750
Hg 0.500 0.500 0.500

Calculated values
Its space group is Fm-3m (225). As for the formation energy: -0.255 eV/atom. The value obtained for the calculated total energy is -0.1556 Ry/atom. The magnetic moment is 0.00 μB per formula unit.



[7]
Here is crystalline Dy6Zn3Hg at its relaxed geometry from Alexandria. Energies are from PBE-GGA.

Cell lengths 9.390, 4.991, 11.356 Å; angles 90.00, 107.87, 90.00 degrees
Element x y z (fractional)
Dy 0.019 0.250 0.394
Dy 0.143 0.750 0.193
Dy 0.224 0.250 0.003
Dy 0.354 0.750 0.834
Dy 0.363 0.250 0.619
Dy 0.383 0.250 0.346
Dy 0.617 0.750 0.654
Dy 0.637 0.750 0.381
Dy 0.646 0.250 0.166
Dy 0.776 0.750 0.997
Dy 0.857 0.250 0.807
Dy 0.981 0.750 0.606
Zn 0.038 0.750 0.887
Zn 0.129 0.250 0.729
Zn 0.269 0.750 0.474
Zn 0.731 0.250 0.526
Zn 0.871 0.750 0.271
Zn 0.962 0.250 0.113
Hg 0.428 0.750 0.123
Hg 0.572 0.250 0.877

Calculated values
Its space group is P2_1/m (11). As for the formation energy: -0.254 eV/atom. The value obtained for the calculated total energy is -0.2519 Ry/atom. The magnetic moment is 0.00 μB per formula unit.



[8]
Here is crystalline Dy4ZnHg7 at its relaxed geometry from Alexandria. Energies are from PBE-GGA.

Cell lengths 7.095, 7.095, 10.512 Å; angles 117.92, 117.92, 43.18 degrees
Element x y z (fractional)
Dy 0.076 0.076 0.273
Dy 0.235 0.235 0.805
Dy 0.765 0.765 0.195
Dy 0.924 0.924 0.727
Zn 0.500 0.500 0.500
Hg 0.000 0.000 0.500
Hg 0.144 0.144 0.036
Hg 0.312 0.312 0.570
Hg 0.420 0.420 0.157
Hg 0.580 0.580 0.843
Hg 0.688 0.688 0.430
Hg 0.856 0.856 0.964

Calculated values
Its space group is C2/m (12). As for the formation energy: -0.255 eV/atom. The value obtained for the calculated total energy is -0.1522 Ry/atom. The magnetic moment is 0.00 μB per formula unit.



[9]
Here is crystalline DyZnHg at its relaxed geometry from Alexandria. Energies are from PBE-GGA.

Cell lengths 7.864, 7.864, 7.864 Å; angles 155.36, 155.36, 35.12 degrees
Element x y z (fractional)
Dy 0.000 0.000 0.000
Zn 0.195 0.195 0.000
Hg 0.799 0.799 0.000

Calculated values
Its space group is I4mm (107). As for the formation energy: 0.357 eV/atom. The value obtained for the calculated total energy is -0.1251 Ry/atom. The magnetic moment is 0.08 μB per formula unit.



[10]
Here is crystalline DyZn2Hg at its relaxed geometry from Alexandria. Energies are from PBE-GGA.

Cell lengths 4.813, 4.301, 4.301 Å; angles 84.62, 90.00, 90.00 degrees
Element x y z (fractional)
Dy 0.000 0.000 0.000
Zn 0.000 0.473 0.473
Zn 0.500 0.287 0.287
Hg 0.500 0.718 0.718

Calculated values
Its space group is Amm2 (38). As for the formation energy: -0.081 eV/atom. The value obtained for the calculated total energy is -0.1429 Ry/atom. The magnetic moment is 0.00 μB per formula unit.



[11]
Here is crystalline DyZnHg at its relaxed geometry from Alexandria. Energies are from PBE-GGA.

Cell lengths 4.667, 4.667, 4.667 Å; angles 60.00, 60.00, 60.00 degrees
Element x y z (fractional)
Dy 0.000 0.000 0.000
Zn 0.750 0.750 0.750
Hg 0.500 0.500 0.500

Calculated values
Its space group is F-43m (216). As for the formation energy: -0.234 eV/atom. The value obtained for the calculated total energy is -0.1686 Ry/atom. The magnetic moment is 0.00 μB per formula unit.



[12]
Here is crystalline DyZnHg at its relaxed geometry from Alexandria. Energies are from PBE-GGA.

Cell lengths 4.682, 4.682, 3.514 Å; angles 90.00, 90.00, 120.00 degrees
Element x y z (fractional)
Dy 0.000 0.000 0.000
Zn 0.333 0.667 0.500
Hg 0.667 0.333 0.500

Calculated values
Its space group is P-6m2 (187). As for the formation energy: -0.401 eV/atom. The value obtained for the calculated total energy is -0.1808 Ry/atom. The magnetic moment is 0.00 μB per formula unit.